Record 1
Rb2NaYCl6 | PBEsol | relaxed

Values from the calculation:
For the volume, the calculation gives 29.52 Å³/atom. The value obtained for the total DFT energy (no corrections) is -43.20 eV per cell. For the formation energy without anion corrections, the calculation gives -20.88 eV per formula unit. The space-group type is No. 225.

Unit cell a=7.474 b=7.474 c=7.474 alpha=60.00 beta=60.00 gamma=60.00
Positions (direct):
Rb  0.750  0.750  0.750
Rb  0.250  0.250  0.250
Na  0.500  0.500  0.500
Y  0.000  0.000  0.000
Cl  0.754  0.246  0.246
Cl  0.754  0.754  0.246
Cl  0.246  0.754  0.754
Cl  0.754  0.246  0.754
Cl  0.246  0.754  0.246
Cl  0.246  0.246  0.754


Record 2
NaReCl3 | PBEsol | relaxed

Values from the calculation:
For the volume, the calculation gives 22.44 Å³/atom. The value obtained for the total DFT energy (no corrections) is -22.32 eV per cell. For the formation energy without anion corrections, the calculation gives -1.56 eV per formula unit. The space-group type is No. 221.

Unit cell a=4.823 b=4.823 c=4.823 alpha=90.00 beta=90.00 gamma=90.00
Positions (direct):
Re  0.000  0.000  0.000
Na  0.500  0.500  0.500
Cl  0.000  0.500  0.000
Cl  0.000  0.000  0.500
Cl  0.500  0.000  0.000


Record 3
NaRe3Cl | PBEsol | relaxed

Values from the calculation:
For the volume, the calculation gives 19.02 Å³/atom. The value obtained for the total DFT energy (no corrections) is -24.32 eV per cell. For the formation energy without anion corrections, the calculation gives 19.09 eV per formula unit. The space-group type is No. 221.

Unit cell a=4.564 b=4.564 c=4.564 alpha=90.00 beta=90.00 gamma=90.00
Positions (direct):
Re  0.000  0.500  0.000
Re  0.000  0.000  0.500
Re  0.500  0.000  0.000
Na  0.000  0.000  0.000
Cl  0.500  0.500  0.500


Record 4
NaTa2ReCl | PBEsol | relaxed

Values from the calculation:
For the volume, the calculation gives 19.09 Å³/atom. The value obtained for the total DFT energy (no corrections) is -28.98 eV per cell. For the formation energy without anion corrections, the calculation gives 12.86 eV per formula unit. The space-group type is No. 123.

Unit cell a=4.086 b=4.833 c=4.833 alpha=90.00 beta=90.00 gamma=90.00
Positions (direct):
Re  0.500  0.500  0.500
Cl  0.500  0.000  0.000
Na  0.000  0.000  0.000
Ta  0.000  0.000  0.500
Ta  0.000  0.500  0.000


Record 5
NaRhCl2 | PBEsol | relaxed

Values from the calculation:
For the volume, the calculation gives 23.69 Å³/atom. The value obtained for the total DFT energy (no corrections) is -14.80 eV per cell. For the formation energy without anion corrections, the calculation gives -1.25 eV per formula unit. The space-group type is No. 166.

Unit cell a=3.796 b=3.796 c=7.901 alpha=76.10 beta=76.10 gamma=60.00
Positions (direct):
Na  0.000  0.000  0.000
Rh  0.500  0.500  0.500
Cl  0.886  0.886  0.341
Cl  0.114  0.114  0.659


Record 6
Na2SrRuCl | PBEsol | relaxed

Values from the calculation:
For the volume, the calculation gives 27.70 Å³/atom. The value obtained for the total DFT energy (no corrections) is -15.88 eV per cell. For the formation energy without anion corrections, the calculation gives 0.94 eV per formula unit. The space-group type is No. 123.

Unit cell a=4.918 b=4.918 c=5.727 alpha=90.00 beta=90.00 gamma=90.00
Positions (direct):
Ru  0.500  0.500  0.500
Cl  0.000  0.000  0.000
Na  0.000  0.500  0.000
Na  0.500  0.000  0.000
Sr  0.000  0.000  0.500


Record 7
NaS2Cl2 | PBEsol | relaxed

Values from the calculation:
For the volume, the calculation gives 23.99 Å³/atom. The value obtained for the total DFT energy (no corrections) is -16.19 eV per cell. For the formation energy without anion corrections, the calculation gives -2.01 eV per formula unit. The space-group type is No. 139.

Unit cell a=5.470 b=5.570 c=5.470 alpha=60.60 beta=90.00 gamma=119.40
Positions (direct):
Na  0.000  0.000  0.000
S  0.615  0.231  0.385
S  0.385  0.769  0.615
Cl  0.750  0.500  0.750
Cl  0.250  0.500  0.250


Record 8
Na3SCl | PBEsol | relaxed

Values from the calculation:
For the volume, the calculation gives 27.65 Å³/atom. The value obtained for the total DFT energy (no corrections) is -16.43 eV per cell. For the formation energy without anion corrections, the calculation gives -5.84 eV per formula unit. The space-group type is No. 221.

Unit cell a=5.171 b=5.171 c=5.171 alpha=90.00 beta=90.00 gamma=90.00
Positions (direct):
Na  0.000  0.500  0.000
Na  0.000  0.000  0.500
Na  0.500  0.000  0.000
S  0.000  0.000  0.000
Cl  0.500  0.500  0.500


What did the first record say?
Rb2NaYCl6 | PBEsol | relaxed

Values from the calculation:
For the volume, the calculation gives 29.52 Å³/atom. The value obtained for the total DFT energy (no corrections) is -43.20 eV per cell. For the formation energy without anion corrections, the calculation gives -20.88 eV per formula unit. The space-group type is No. 225.

Unit cell a=7.474 b=7.474 c=7.474 alpha=60.00 beta=60.00 gamma=60.00
Positions (direct):
Rb  0.750  0.750  0.750
Rb  0.250  0.250  0.250
Na  0.500  0.500  0.500
Y  0.000  0.000  0.000
Cl  0.754  0.246  0.246
Cl  0.754  0.754  0.246
Cl  0.246  0.754  0.754
Cl  0.754  0.246  0.754
Cl  0.246  0.754  0.246
Cl  0.246  0.246  0.754


Repeat the fifth record exactly.
NaRhCl2 | PBEsol | relaxed

Values from the calculation:
For the volume, the calculation gives 23.69 Å³/atom. The value obtained for the total DFT energy (no corrections) is -14.80 eV per cell. For the formation energy without anion corrections, the calculation gives -1.25 eV per formula unit. The space-group type is No. 166.

Unit cell a=3.796 b=3.796 c=7.901 alpha=76.10 beta=76.10 gamma=60.00
Positions (direct):
Na  0.000  0.000  0.000
Rh  0.500  0.500  0.500
Cl  0.886  0.886  0.341
Cl  0.114  0.114  0.659


What is the formula in the eighth record? Na3SCl